# 1
First-principles (GGA-PBE) data for crystalline LiLaBi2Pd4 at its relaxed geometry, as listed in Alexandria via LeMat-Bulk.

a = 4.6911 Å, b = 4.6911 Å, c = 25.8944 Å
α = 90.00°, β = 90.00°, γ = 120.00°
Space group R-3m (No. 166, hexagonal axes)
Asymmetric unit:
Li 0.0000 0.0000 0.0000
La 0.0000 0.0000 0.5000
Bi 0.0000 0.0000 0.2580
Pd 0.0000 0.0000 0.1023
Pd 0.0000 0.0000 0.3661

- Crystal system: trigonal
- Energy of formation from the pure elements: -0.565 eV/atom
- Uncorrected energy: -4.986 eV/atom
- Total magnetization: 0.00 μB/f.u.

# 2
First-principles (GGA-PBE) data for crystalline Li2La2PmBi2 at its relaxed geometry, as listed in Alexandria via LeMat-Bulk.

a = 4.9084 Å, b = 4.9084 Å, c = 28.3528 Å
α = 90.00°, β = 90.00°, γ = 120.00°
Space group R-3m (No. 166, hexagonal axes)
Asymmetric unit:
Li 0.0000 0.0000 0.0949
La 0.0000 0.0000 0.3682
Pm 0.0000 0.0000 0.5000
Bi 0.0000 0.0000 0.2326

- Crystal system: trigonal
- Energy of formation from the pure elements: -0.487 eV/atom
- Uncorrected energy: -4.229 eV/atom
- Total magnetization: 0.00 μB/f.u.